1.
# AcLa2Tb5Pr

An optimized crystal structure of AcLa2Tb5Pr (PBE, Alexandria).

Space group: No. 140
Energy of formation from the pure elements, eV per atom: 0.253
Total moment, μB per cell: 0.00

Unit cell a=8.873 b=8.873 c=10.199 alpha=115.78 beta=115.78 gamma=90.00
Element x y z (fractional)
1 Ac 0.250 0.750 0.500
2 Ac 0.750 0.250 0.500
3 La 0.116 0.384 0.000
4 La 0.616 0.116 0.000
5 La 0.384 0.884 0.000
6 La 0.884 0.616 0.000
7 Tb 0.920 0.420 0.271
8 Tb 0.649 0.149 0.729
9 Tb 0.080 0.580 0.729
10 Tb 0.149 0.080 0.729
11 Tb 0.580 0.649 0.729
12 Tb 0.851 0.920 0.271
13 Tb 0.420 0.351 0.271
14 Tb 0.351 0.851 0.271
15 Tb 0.500 0.500 0.000
16 Tb 0.000 0.000 0.000
17 Pr 0.250 0.250 0.500
18 Pr 0.750 0.750 0.500

=====

2.
# Ac2La2TbPr

An optimized crystal structure of Ac2La2TbPr (PBE, Alexandria).

Space group: No. 58
Energy of formation from the pure elements, eV per atom: 0.240
Total moment, μB per cell: 0.00

Unit cell a=3.665 b=6.837 c=18.870 alpha=90.00 beta=90.00 gamma=90.00
Element x y z (fractional)
1 Ac 0.500 0.718 0.311
2 Ac 0.500 0.282 0.689
3 Ac 0.000 0.782 0.811
4 Ac 0.000 0.218 0.189
5 La 0.500 0.210 0.363
6 La 0.000 0.710 0.137
7 La 0.500 0.790 0.637
8 La 0.000 0.290 0.863
9 Tb 0.500 0.500 0.000
10 Tb 0.000 0.000 0.500
11 Pr 0.000 0.000 0.000
12 Pr 0.500 0.500 0.500

=====

3.
# AcLaTbPr

An optimized crystal structure of AcLaTbPr (PBE, Alexandria).

Space group: No. 216
Energy of formation from the pure elements, eV per atom: 0.118
Total moment, μB per cell: 0.00
Distance to the lowest polymorph of the same formula, eV/atom: 0.000

Unit cell a=5.979 b=5.979 c=5.979 alpha=60.00 beta=60.00 gamma=60.00
Element x y z (fractional)
1 Pr 0.000 0.000 0.000
2 Ac 0.750 0.750 0.750
3 Tb 0.500 0.500 0.500
4 La 0.250 0.250 0.250

=====

4.
# AcLa2Tb2Pr

An optimized crystal structure of AcLa2Tb2Pr (PBE, Alexandria).

Space group: No. 26
Energy of formation from the pure elements, eV per atom: 0.061
Total moment, μB per cell: 0.00

Unit cell a=5.868 b=7.346 c=10.159 alpha=90.00 beta=90.00 gamma=90.00
Element x y z (fractional)
1 Ac 0.000 0.008 0.500
2 Ac 0.000 0.508 0.500
3 La 0.500 0.008 0.000
4 La 0.000 0.258 0.163
5 La 0.500 0.508 0.000
6 La 0.000 0.758 0.837
7 Tb 0.000 0.257 0.835
8 Tb 0.500 0.258 0.331
9 Tb 0.000 0.757 0.165
10 Tb 0.500 0.758 0.669
11 Pr 0.500 0.258 0.669
12 Pr 0.500 0.758 0.331

=====

5.
# AcLa2TbPr

An optimized crystal structure of AcLa2TbPr (PBE, Alexandria).

Space group: No. 63
Energy of formation from the pure elements, eV per atom: 0.346
Total moment, μB per cell: 0.00

Unit cell a=6.626 b=6.681 c=9.431 alpha=110.74 beta=90.00 gamma=90.00
Element x y z (fractional)
1 Ac 0.250 0.658 0.315
2 Ac 0.750 0.342 0.685
3 La 0.500 0.242 0.000
4 La 0.000 0.758 0.000
5 La 0.500 0.758 0.000
6 La 0.000 0.242 0.000
7 Tb 0.750 0.765 0.531
8 Tb 0.250 0.235 0.469
9 Pr 0.250 0.845 0.690
10 Pr 0.750 0.155 0.310

=====

6.
# Ac2LaTbPr4

An optimized crystal structure of Ac2LaTbPr4 (PBE, Alexandria).

Space group: No. 10
Energy of formation from the pure elements, eV per atom: 0.034
Total moment, μB per cell: 0.00

Unit cell a=3.792 b=12.466 c=6.541 alpha=79.60 beta=90.00 gamma=90.00
Element x y z (fractional)
1 Ac 0.000 0.000 0.000
2 Ac 0.500 0.000 0.500
3 La 0.500 0.500 0.000
4 Tb 0.000 0.500 0.500
5 Pr 0.000 0.744 0.751
6 Pr 0.000 0.256 0.249
7 Pr 0.500 0.742 0.254
8 Pr 0.500 0.258 0.746